# PBE+U KCrF3, relaxed
# Magnetization = 4.00 μB/f.u.
# DOS(E_F) = 15.05 states/eV per cell
# Uncorrected energy = -4.097 eV/atom
data_KCrF3
_chemical_formula_sum 'K1 Cr1 F3'
_cell_length_a 4.678
_cell_length_b 4.678
_cell_length_c 4.678
_cell_angle_alpha 90.00
_cell_angle_beta 90.00
_cell_angle_gamma 90.00
_space_group_name_H-M_alt 'P 1'
_space_group_IT_number 1
loop_
_space_group_symop_operation_xyz
'x,y,z'
loop_
_atom_site_label
_atom_site_fract_x
_atom_site_fract_y
_atom_site_fract_z
Cr1 0.500 0.500 0.500
F1 0.000 0.500 0.000
F2 0.000 0.000 0.500
F3 0.500 0.000 0.000
K1 0.000 0.000 0.000